(1)
Entry from Alexandria: an optimized crystal structure of SiHg2S (PBE).

Computed properties:
Crystal system   tetragonal
Relative energy among the computed polymorphs   0 meV per atom
Energy relative to the elements, uncorrected   300 meV per atom

Cell: 6.2681 6.2681 10.9216 Å, 90.00 90.00 90.00°
Last column: nearest neighbours and their distance in Å.
Space group I-42d (No. 122)
Asymmetric unit:
Si  0.0000  0.0000  0.0000 (multiplicity 4)  4 Hg 2.56
Hg  0.2393  0.2500  0.1250 (multiplicity 8)  2 Si 2.56, 2 S 2.64
S  0.0000  0.0000  0.5000 (multiplicity 4)  4 Hg 2.64

=====

(2)
Entry from Alexandria: an optimized crystal structure of CaTb14Y (PBE).

Computed properties:
Crystal system   orthorhombic
ΔE_f   30 meV per atom

Cell: 11.3763 7.2964 12.6416 Å, 90.00 90.00 90.00°
Last column: nearest neighbours and their distance in Å.
Space group Amm2 (No. 38)
Asymmetric unit:
Ca  0.0000  0.0000  0.0000 (multiplicity 2)  10 Tb 3.58-3.65, 2 Y 3.65
Tb  0.0000  0.2488  0.2503 (multiplicity 4)  8 Tb 3.51-3.67, 2 Y 3.64-3.66, 2 Ca 3.65
Tb  0.2480  0.0000  0.3331 (multiplicity 4)  11 Tb 3.51-3.65, 1 Y 3.52
Tb  0.2528  0.0000  0.8308 (multiplicity 4)  11 Tb 3.50-3.70, 1 Ca 3.58
Tb  0.2537  0.2468  0.5844 (multiplicity 8)  10 Tb 3.50-3.70, 1 Y 3.57, 1 Ca 3.59
Tb  0.5000  0.0000  0.4996 (multiplicity 2)  12 Tb 3.50-3.65
Tb  0.5000  0.0000  0.9995 (multiplicity 2)  12 Tb 3.52-3.65
Tb  0.5000  0.2503  0.2498 (multiplicity 4)  12 Tb 3.50-3.65
Y  0.0000  0.0000  0.4995 (multiplicity 2)  10 Tb 3.52-3.66, 2 Ca 3.65

=====

(3)
Entry from Alexandria: an optimized crystal structure of PC2I (PBE).

Computed properties:
Crystal system   cubic
Relative energy among the computed polymorphs   1448 meV per atom
Energy relative to the elements, uncorrected   2957 meV per atom

Cell: 5.9693 5.9693 5.9693 Å, 90.00 90.00 90.00°
Last column: nearest neighbours and their distance in Å.
Space group Fm-3m (No. 225)
Asymmetric unit:
P  0.0000  0.0000  0.0000 (multiplicity 4)  8 C 2.58
C  0.2500  0.2500  0.2500 (multiplicity 8)  4 I 2.58, 4 P 2.58
I  0.0000  0.0000  0.5000 (multiplicity 4)  8 C 2.58

=====

(4)
Entry from Alexandria: an optimized crystal structure of PaGeBi (PBE).

Computed properties:
Crystal system   orthorhombic
Relative energy among the computed polymorphs   0 meV per atom
ΔE_f   -256 meV per atom

Cell: 4.4159 16.1881 4.2725 Å, 90.00 90.00 90.00°
Last column: nearest neighbours and their distance in Å.
Space group Cmcm (No. 63)
Asymmetric unit:
Pa  0.0000  0.0891  0.2500 (multiplicity 4)  6 Ge 3.12-3.20, 4 Bi 3.38-3.40
Ge  0.0000  0.4462  0.2500 (multiplicity 4)  2 Ge 2.76
Bi  0.0000  0.2511  0.7500 (multiplicity 4)  4 Bi 3.07, 4 Pa 3.38-3.40

=====

(5)
Entry from Alexandria: an optimized crystal structure of YRhNO2 (PBE).

Computed properties:
Crystal system   tetragonal
Energy relative to the elements, uncorrected   172 meV per atom

Cell: 4.3263 4.3263 4.5560 Å, 90.00 90.00 90.00°
Last column: nearest neighbours and their distance in Å.
Space group P4/mmm (No. 123)
Asymmetric unit:
Y  0.0000  0.0000  0.0000 (multiplicity 1)  4 O 2.16, 2 N 2.28
Rh  0.5000  0.5000  0.5000 (multiplicity 1)  4 N 3.06, 8 O 3.14
N  0.0000  0.0000  0.5000 (multiplicity 1)  2 Y 2.28
O  0.0000  0.5000  0.0000 (multiplicity 2)  2 Y 2.16

=====

(6)
Entry from Alexandria: an optimized crystal structure of CeEuMgSc (PBE).

Computed properties:
Crystal system   cubic
ΔE_f   160 meV per atom

Cell: 7.7902 7.7902 7.7902 Å, 90.00 90.00 90.00°
Last column: nearest neighbours and their distance in Å.
Space group F-43m (No. 216)
Asymmetric unit:
Ce  0.0000  0.0000  0.0000 (multiplicity 4)  4 Mg 3.37, 4 Sc 3.37
Eu  0.0000  0.0000  0.5000 (multiplicity 4)  4 Sc 3.37, 4 Mg 3.37
Mg  0.2500  0.2500  0.7500 (multiplicity 4)  4 Ce 3.37, 4 Eu 3.37
Sc  0.2500  0.2500  0.2500 (multiplicity 4)  4 Ce 3.37, 4 Eu 3.37

=====

(7)
Entry from Alexandria: an optimized crystal structure of BaLa2Pd2 (PBE).

Computed properties:
Crystal system   tetragonal
Relative energy among the computed polymorphs   51 meV per atom
ΔE_f   -473 meV per atom

Cell: 5.0316 5.0316 12.5009 Å, 90.00 90.00 90.00°
Last column: nearest neighbours and their distance in Å.
Space group I4/mmm (No. 139)
Asymmetric unit:
Ba  0.0000  0.0000  0.0000 (multiplicity 2)  8 Pd 3.83, 8 La 4.01
La  0.0000  0.5000  0.2500 (multiplicity 4)  4 Pd 3.04
Pd  0.0000  0.0000  0.3861 (multiplicity 4)  1 Pd 2.85, 4 La 3.04

=====

(8)
Entry from Alexandria: an optimized crystal structure of MnCdBr2 (PBE).

Computed properties:
Crystal system   orthorhombic
Relative energy among the computed polymorphs   568 meV per atom
Energy relative to the elements, uncorrected   114 meV per atom

Cell: 7.3409 7.3552 3.6282 Å, 90.00 90.00 90.00°
Last column: nearest neighbours and their distance in Å.
Space group Cmmm (No. 65)
Asymmetric unit:
Mn  0.0000  0.0000  0.0000 (multiplicity 2)  8 Br 3.17
Cd  0.0000  0.5000  0.0000 (multiplicity 2)  8 Br 3.17
Br  0.2500  0.2500  0.5000 (multiplicity 4)  4 Cd 3.17, 4 Mn 3.17

=====

(9)
Entry from Alexandria: an optimized crystal structure of ZnIrI2N (PBE).

Computed properties:
Crystal system   tetragonal
Relative energy among the computed polymorphs   979 meV per atom
Energy relative to the elements, uncorrected   1389 meV per atom

Cell: 5.5643 5.5643 3.6222 Å, 90.00 90.00 90.00°
Last column: nearest neighbours and their distance in Å.
Space group P4/mmm (No. 123)
Asymmetric unit:
Zn  0.0000  0.0000  0.0000 (multiplicity 1)  2 N 1.81
Ir  0.5000  0.5000  0.5000 (multiplicity 1)  8 I 3.32, 2 Ir 3.62
I  0.0000  0.5000  0.0000 (multiplicity 2)  2 Zn 2.78
N  0.0000  0.0000  0.5000 (multiplicity 1)  2 Zn 1.81

=====

(10)
Entry from Alexandria: an optimized crystal structure of La6DyHo (PBE).

Computed properties:
Crystal system   monoclinic
Relative energy among the computed polymorphs   273 meV per atom
ΔE_f   280 meV per atom

Cell: 7.2519 12.5807 7.0840 Å, 90.00 118.98 90.00°
Last column: nearest neighbours and their distance in Å.
Space group C2/m (No. 12)
Asymmetric unit:
La  0.9996  0.0000  0.2130 (multiplicity 4)  3 La 3.02-3.34, 1 Dy 3.18, 1 Ho 3.19
La  0.0201  0.2641  0.7597 (multiplicity 8)  6 La 3.34-3.64, 1 Ho 3.46, 1 Dy 3.46
Dy  0.0000  0.5000  0.0000 (multiplicity 2)  6 La 3.18-3.46, 2 Ho 3.54
Ho  0.0000  0.5000  0.5000 (multiplicity 2)  6 La 3.19-3.46, 2 Dy 3.54

=====

(11)
Entry from Alexandria: an optimized crystal structure of CeDy6Ho3Th2 (PBE).

Computed properties:
Crystal system   monoclinic
ΔE_f   33 meV per atom

Cell: 6.1366 10.6237 11.7016 Å, 90.00 100.10 90.00°
Last column: nearest neighbours and their distance in Å.
Space group C2/m (No. 12)
Asymmetric unit:
Ce  0.0000  0.0000  0.0000 (multiplicity 2)  6 Dy 3.51, 6 Th 3.54
Dy  0.2495  0.3328  0.7528 (multiplicity 8)  2 Th 3.50-3.51, 1 Ce 3.51, 6 Dy 3.54-3.55, 3 Ho 3.55-3.57
Dy  0.2491  0.5000  0.2474 (multiplicity 4)  2 Th 3.51, 1 Ce 3.51, 6 Dy 3.54-3.55, 3 Ho 3.56
Ho  0.0000  0.1668  0.5000 (multiplicity 4)  6 Ho 3.54, 6 Dy 3.55-3.57
Ho  0.0000  0.5000  0.5000 (multiplicity 2)  6 Ho 3.54, 6 Dy 3.56
Th  0.0000  0.3333  0.0000 (multiplicity 4)  6 Dy 3.50-3.51, 3 Ce 3.54, 3 Th 3.54

=====

(12)
Entry from Alexandria: an optimized crystal structure of BaZr2In (PBE).

Computed properties:
Crystal system   tetragonal
ΔE_f   334 meV per atom

Cell: 4.8229 4.8229 4.6365 Å, 90.00 90.00 90.00°
Last column: nearest neighbours and their distance in Å.
Space group P4/mmm (No. 123)
Asymmetric unit:
Ba  0.0000  0.0000  0.0000 (multiplicity 1)  8 Zr 3.35, 4 In 3.41
Zr  0.0000  0.5000  0.5000 (multiplicity 2)  4 In 3.35, 4 Ba 3.35, 4 Zr 3.41
In  0.5000  0.5000  0.0000 (multiplicity 1)  8 Zr 3.35, 4 Ba 3.41

=====

no.,magnetization (μB per cell)
1,0.000
2,0.002
3,0.000
4,4.564
5,0.455
6,32.868
7,0.000
8,9.599
9,2.315
10,0.000
11,0.989
12,0.000